[1]
{"formula": "GdTaBe", "functional": "PBE", "state": "relaxed", "energy_ev_per_fu": -18.276, "sg": "F-43m, No. 216", "cell": [[0.000, 3.118, 3.118], [3.118, 0.000, 3.118], [3.118, 3.118, 0.000]], "species": ["Gd", "Ta", "Be"], "frac_coords": [[0.000, 0.000, 0.000], [0.500, 0.500, 0.500], [0.250, 0.250, 0.250]]}


[2]
{"formula": "HoOsC", "functional": "PBE", "state": "relaxed", "energy_ev_per_fu": -23.749, "sg": "R3m, No. 160", "cell": [[2.271, 1.311, 2.763], [-2.271, 1.311, 2.763], [0.000, -2.622, 2.763]], "species": ["Ho", "Os", "C"], "frac_coords": [[0.000, 0.000, 0.000], [0.487, 0.487, 0.487], [0.712, 0.712, 0.712]]}